Crystalline YGe3I at its relaxed geometry. Source: the Alexandria database, functional GGA-PBE.

Summary:
**Space-group type**: No. 221
**Relative energy among the computed polymorphs**: 0 meV per atom
**ΔE_f (raw)**: 673 meV/atom
**D(E_F)**: 7.36 states/eV/cell

Structure (POSCAR):
```
YGe3I
1.0
5.615 0.000 0.000
0.000 5.615 0.000
0.000 0.000 5.615
Y Ge I
1 3 1
direct
0.000 0.000 0.000
0.000 0.000 0.500
0.000 0.500 0.000
0.500 0.000 0.000
0.500 0.500 0.500
```

---

Crystalline Ba2LiHoRuO6 at its relaxed geometry. Source: the Alexandria database, functional GGA-PBE.

Summary:
**Space-group type**: No. 71
**Relative energy among the computed polymorphs**: 0 meV per atom
**ΔE_f (raw)**: -2231 meV/atom
**D(E_F)**: 3.45 states/eV/cell

Structure (POSCAR):
```
Ba2LiHoRuO6
1.0
-2.954 2.982 4.455
2.954 -2.982 4.455
2.954 2.982 -4.455
Ba Li Ho Ru O
2 1 1 1 6
direct
0.208 0.208 0.000
0.792 0.792 0.000
0.500 0.500 0.000
0.500 0.000 0.500
0.000 0.500 0.500
0.234 0.734 0.500
0.249 0.268 0.516
0.249 0.732 0.981
0.751 0.268 0.019
0.751 0.732 0.484
0.766 0.266 0.500
```

---

Crystalline Hf6Zn5Os at its relaxed geometry. Source: the Alexandria database, functional GGA-PBE.

Summary:
**Space-group type**: No. 65
**Energy of formation from the pure elements**: -3.46 eV per formula unit
**D(E_F)**: 2.42 states/eV/cell

Structure (POSCAR):
```
Hf6Zn5Os
1.0
2.329 -6.979 0.000
2.329 6.979 0.000
0.000 0.000 6.599
Hf Zn Os
6 5 1
direct
0.000 0.000 0.248
0.000 0.000 0.752
0.336 0.664 0.248
0.336 0.664 0.752
0.664 0.336 0.248
0.664 0.336 0.752
0.168 0.832 0.000
0.171 0.829 0.500
0.500 0.500 0.500
0.829 0.171 0.500
0.832 0.168 0.000
0.500 0.500 0.000
```

---

Crystalline Mg2TaMo at its relaxed geometry. Source: the Alexandria database, functional GGA-PBE.

Summary:
**Space-group type**: No. 35
**Relative energy among the computed polymorphs**: 0 meV per atom
**Energy of formation from the pure elements**: 0.60 eV per formula unit
**D(E_F)**: 3.46 states/eV/cell

Structure (POSCAR):
```
Mg2TaMo
1.0
1.677 -2.374 0.000
1.677 2.374 0.000
0.000 0.000 9.513
Mg Ta Mo
2 1 1
direct
0.000 0.000 0.000
0.500 0.500 0.278
0.500 0.500 0.737
0.000 0.000 0.522
```

---

Crystalline K2NpF7 at its relaxed geometry. Source: the Alexandria database, functional GGA-PBE.

Summary:
**Space-group type**: No. 15
**ΔE_f (raw)**: -3145 meV/atom
**D(E_F)**: 12.38 states/eV/cell

Structure (POSCAR):
```
K2NpF7
1.0
6.947 -3.408 0.000
6.947 3.408 0.000
-4.811 0.000 6.685
K Np F
4 2 14
direct
0.162 0.188 0.247
0.188 0.162 0.747
0.812 0.838 0.253
0.838 0.812 0.753
0.467 0.533 0.250
0.533 0.467 0.750
0.143 0.857 0.250
0.176 0.598 0.570
0.205 0.444 0.150
0.289 0.558 0.939
0.402 0.824 0.930
0.442 0.711 0.561
0.444 0.205 0.650
0.556 0.795 0.350
0.558 0.289 0.439
0.598 0.176 0.070
0.711 0.442 0.061
0.795 0.556 0.850
0.824 0.402 0.430
0.857 0.143 0.750
```

---

Crystalline PrY3Ag4 at its relaxed geometry. Source: the Alexandria database, functional GGA-PBE.

Summary:
**Space-group type**: No. 47
**Energy of formation from the pure elements**: -2.41 eV per formula unit
**D(E_F)**: 5.81 states/eV/cell

Structure (POSCAR):
```
PrY3Ag4
1.0
3.642 0.000 0.000
0.000 5.236 0.000
0.000 0.000 10.468
Pr Y Ag
1 3 4
direct
0.000 0.000 0.000
0.000 0.000 0.500
0.000 0.500 0.253
0.000 0.500 0.747
0.500 0.000 0.260
0.500 0.000 0.740
0.500 0.500 0.000
0.500 0.500 0.500
```

---

Crystalline K4AsH at its relaxed geometry. Source: the Alexandria database, functional GGA-PBE.

Summary:
**Space-group type**: No. 15
**Relative energy among the computed polymorphs**: 0 meV per atom

Structure (POSCAR):
```
K4AsH
1.0
4.963 -8.006 0.000
4.963 8.006 0.000
-4.521 0.000 5.634
K As H
8 2 2
direct
0.064 0.655 0.878
0.238 0.302 0.725
0.302 0.238 0.225
0.345 0.936 0.622
0.655 0.064 0.378
0.698 0.762 0.775
0.762 0.698 0.275
0.936 0.345 0.122
0.369 0.631 0.250
0.631 0.369 0.750
0.082 0.918 0.750
0.918 0.082 0.250
```

---

Crystalline Pm4AlSn4 at its relaxed geometry. Source: the Alexandria database, functional GGA-PBE.

Summary:
**Space-group type**: No. 87
**Energy of formation from the pure elements**: -2.62 eV per formula unit
**D(E_F)**: 6.00 states/eV/cell

Structure (POSCAR):
```
Pm4AlSn4
1.0
-4.737 4.737 3.134
4.737 -4.737 3.134
4.737 4.737 -3.134
Pm Al Sn
4 1 4
direct
0.084 0.725 0.809
0.275 0.084 0.359
0.725 0.916 0.641
0.916 0.275 0.191
0.500 0.500 0.000
0.212 0.419 0.631
0.419 0.788 0.207
0.581 0.212 0.793
0.788 0.581 0.369
```

---

Crystalline SmPdS2O8 at its relaxed geometry. Source: the Alexandria database, functional GGA-PBE.

Summary:
**Space-group type**: No. 164
**ΔE_f (raw)**: -1571 meV/atom
**D(E_F)**: 6.66 states/eV/cell

Structure (POSCAR):
```
SmPdS2O8
1.0
5.212 0.000 0.000
-2.606 4.514 0.000
0.000 0.000 7.459
Sm Pd S O
1 1 2 8
direct
0.000 0.000 0.000
0.000 0.000 0.500
0.333 0.667 0.189
0.667 0.333 0.811
0.176 0.353 0.251
0.176 0.824 0.251
0.333 0.667 0.988
0.353 0.176 0.749
0.647 0.824 0.251
0.667 0.333 0.012
0.824 0.176 0.749
0.824 0.647 0.749
```

---

no.,size of the total moment (μB per cell),mass density (Mg/m³)
1,0.00,4.1
2,2.00,6.8
3,0.00,12.3
4,0.00,7.1
5,4.00,4.7
6,0.00,7.0
7,0.00,1.7
8,0.00,6.4
9,1.00,4.2